A relaxed structure of KTmNiF6. Source: the Alexandria database, functional GGA+U.

**DOS at the Fermi energy**: 0.0000 states/eV per atom
**Total energy**: -48.0 eV per formula unit
**M_tot**: 7.99 μB/cell

Geometry as CIF:
```
data_KTmNiF6
_cell_length_a 7.547
_cell_length_b 7.995
_cell_length_c 10.873
_cell_angle_alpha 90.00
_cell_angle_beta 90.00
_cell_angle_gamma 90.00
_symmetry_space_group_name_H-M 'I m m a'
_symmetry_Int_Tables_number 74
_symmetry_space_group_name_Hall '-I 2b 2'
loop_
_atom_site_label
_atom_site_type_symbol
_atom_site_fract_x
_atom_site_fract_y
_atom_site_fract_z
K1 K 0.000 0.250 0.036
Tm1 Tm 0.000 0.000 0.500
Ni1 Ni 0.250 0.250 0.750
F1 F 0.000 0.250 0.423
F2 F 0.000 0.250 0.799
F3 F 0.214 0.071 0.617
```